No. 1
The following is a meta-GGA SCAN calculation of a PBEsol-optimized structure of SrZrTiCr2, from Alexandria.

Cell lengths 4.7053, 4.7053, 5.4367 Å; angles 90.00, 90.00, 90.00 degrees
With the nearest neighbours (Å) after each atom.
Space group P4/mmm (No. 123)
Symmetry-distinct sites (fractional):
Sr 0.0000 0.0000 0.0000 (multiplicity 1)  2 Zr 2.72
Zr 0.0000 0.0000 0.5000 (multiplicity 1)  4 Cr 2.35
Ti 0.5000 0.5000 0.0000 (multiplicity 1)  4 Sr 3.33, 8 Cr 3.60
Cr 0.0000 0.5000 0.5000 (multiplicity 2)  2 Zr 2.35



No. 2
The following is a meta-GGA SCAN calculation of a PBEsol-optimized structure of SrTlCr2, from Alexandria.

Cell lengths 3.2468, 3.2468, 7.8001 Å; angles 90.00, 90.00, 90.00 degrees
With the nearest neighbours (Å) after each atom.
Space group P4mm (No. 99)
Symmetry-distinct sites (fractional):
Sr 0.0000 0.0000 0.0000 (multiplicity 1)  4 Sr 3.25, 5 Cr 3.35-3.37, 4 Tl 3.40
Tl 0.5000 0.5000 0.3213 (multiplicity 1)  5 Cr 2.83-3.01
Cr 0.0000 0.0000 0.5703 (multiplicity 1)  4 Cr 2.46
Cr 0.5000 0.5000 0.6843 (multiplicity 1)  4 Cr 2.46



No. 3
The following is a meta-GGA SCAN calculation of a PBEsol-optimized structure of SrTlCr2, from Alexandria.

Cell lengths 3.7087, 3.7087, 6.7188 Å; angles 90.00, 90.00, 90.00 degrees
With the nearest neighbours (Å) after each atom.
Space group P4/mmm (No. 123)
Symmetry-distinct sites (fractional):
Sr 0.0000 0.0000 0.0000 (multiplicity 1)  2 Tl 3.36, 8 Cr 3.57, 4 Sr 3.71
Tl 0.0000 0.0000 0.5000 (multiplicity 1)  8 Cr 2.78
Cr 0.5000 0.5000 0.3616 (multiplicity 2)  1 Cr 1.86



No. 4
The following is a meta-GGA SCAN calculation of a PBEsol-optimized structure of SrCr3W, from Alexandria.

Cell lengths 4.7495, 4.7495, 4.7495 Å; angles 90.00, 90.00, 90.00 degrees
With the nearest neighbours (Å) after each atom.
Space group Pm-3m (No. 221)
Symmetry-distinct sites (fractional):
Sr 0.0000 0.0000 0.0000 (multiplicity 1)  12 Cr 3.36
Cr 0.0000 0.5000 0.5000 (multiplicity 3)  2 W 2.37
W 0.5000 0.5000 0.5000 (multiplicity 1)  6 Cr 2.37



No. 5
The following is a meta-GGA SCAN calculation of a PBEsol-optimized structure of SrCrW2, from Alexandria.

Cell lengths 6.5974, 6.5974, 6.5974 Å; angles 90.00, 90.00, 90.00 degrees
With the nearest neighbours (Å) after each atom.
Space group F-43m (No. 216)
Symmetry-distinct sites (fractional):
Sr 0.0000 0.0000 0.0000 (multiplicity 4)  4 Cr 2.86, 4 W 2.86
Cr 0.2500 0.2500 0.7500 (multiplicity 4)  4 W 2.86, 4 Sr 2.86
W 0.0000 0.0000 0.5000 (multiplicity 4)  4 Cr 2.86, 4 W 2.86
W 0.2500 0.2500 0.2500 (multiplicity 4)  4 W 2.86, 4 Sr 2.86



No. 6
The following is a meta-GGA SCAN calculation of a PBEsol-optimized structure of SrCrW2, from Alexandria.

Cell lengths 3.2150, 4.5452, 9.5557 Å; angles 90.00, 90.00, 90.00 degrees
With the nearest neighbours (Å) after each atom.
Space group Cmm2 (No. 35)
Symmetry-distinct sites (fractional):
Sr 0.0000 0.0000 0.0000 (multiplicity 2)  4 Sr 2.78
Cr 0.0000 0.5000 0.7194 (multiplicity 2)  2 W 2.48
W 0.0000 0.0000 0.5214 (multiplicity 2)  2 Cr 2.48, 2 W 2.70
W 0.0000 0.5000 0.2950 (multiplicity 2)  6 W 2.70-2.78



No. 7
The following is a meta-GGA SCAN calculation of a PBEsol-optimized structure of SrCrW2, from Alexandria.

Cell lengths 6.4349, 6.4349, 6.4349 Å; angles 90.00, 90.00, 90.00 degrees
With the nearest neighbours (Å) after each atom.
Space group Fm-3m (No. 225)
Symmetry-distinct sites (fractional):
Sr 0.0000 0.0000 0.0000 (multiplicity 4)  8 W 2.79
Cr 0.0000 0.0000 0.5000 (multiplicity 4)  8 W 2.79
W 0.2500 0.2500 0.2500 (multiplicity 8)  4 Sr 2.79, 4 Cr 2.79



No. 8
The following is a meta-GGA SCAN calculation of a PBEsol-optimized structure of SrYCr, from Alexandria.

Cell lengths 5.3371, 5.3371, 3.5058 Å; angles 90.00, 90.00, 120.00 degrees
With the nearest neighbours (Å) after each atom.
Space group P3m1 (No. 156)
Symmetry-distinct sites (fractional):
Sr 0.0000 0.0000 0.0000 (multiplicity 1)  3 Cr 3.30, 3 Y 3.37, 2 Sr 3.51
Y 0.6667 0.3333 0.3906 (multiplicity 1)  3 Cr 3.23, 3 Sr 3.37, 2 Y 3.51
Cr 0.3333 0.6667 0.6665 (multiplicity 1)  3 Y 3.23, 3 Sr 3.30, 2 Cr 3.51



No. 9
The following is a meta-GGA SCAN calculation of a PBEsol-optimized structure of SrYCr2, from Alexandria.

Cell lengths 3.5811, 5.1590, 10.2793 Å; angles 90.00, 90.00, 90.00 degrees
With the nearest neighbours (Å) after each atom.
Space group Imm2 (No. 44)
Symmetry-distinct sites (fractional):
Sr 0.0000 0.0000 0.0000 (multiplicity 2)  8 Cr 3.28-3.47, 4 Y 3.36-3.49, 2 Sr 3.58
Y 0.0000 0.5000 0.7910 (multiplicity 2)  8 Cr 3.21-3.57, 4 Sr 3.36-3.49, 2 Y 3.58
Cr 0.0000 0.0000 0.5918 (multiplicity 2)  2 Cr 2.26
Cr 0.0000 0.5000 0.2258 (multiplicity 2)  2 Cr 2.26



No. 10
The following is a meta-GGA SCAN calculation of a PBEsol-optimized structure of SrZrCr2, from Alexandria.

Cell lengths 3.2436, 3.2436, 28.4977 Å; angles 90.00, 90.00, 120.00 degrees
With the nearest neighbours (Å) after each atom.
Space group R-3m (No. 166, hexagonal axes)
Symmetry-distinct sites (fractional):
Sr 0.0000 0.0000 0.0000 (multiplicity 3)  6 Sr 3.24, 6 Cr 3.26
Zr 0.0000 0.0000 0.5000 (multiplicity 3)  6 Cr 2.80
Cr 0.0000 0.0000 0.2399 (multiplicity 6)  3 Zr 2.80



No. 11
The following is a meta-GGA SCAN calculation of a PBEsol-optimized structure of Sr2ZrCr, from Alexandria.

Cell lengths 4.7166, 4.7166, 5.1666 Å; angles 90.00, 90.00, 90.00 degrees
With the nearest neighbours (Å) after each atom.
Space group P4/mmm (No. 123)
Symmetry-distinct sites (fractional):
Sr 0.0000 0.5000 0.0000 (multiplicity 2)  4 Sr 3.34, 4 Cr 3.50, 4 Zr 3.50
Zr 0.0000 0.0000 0.5000 (multiplicity 1)  4 Cr 3.34, 8 Sr 3.50
Cr 0.5000 0.5000 0.5000 (multiplicity 1)  4 Zr 3.34, 8 Sr 3.50



No. 12
The following is a meta-GGA SCAN calculation of a PBEsol-optimized structure of Sr2ZrCr, from Alexandria.

Cell lengths 5.7226, 5.7226, 3.7011 Å; angles 90.00, 90.00, 90.00 degrees
With the nearest neighbours (Å) after each atom.
Space group P4/mmm (No. 123)
Symmetry-distinct sites (fractional):
Sr 0.0000 0.5000 0.0000 (multiplicity 2)  4 Cr 3.41, 4 Zr 3.41, 2 Sr 3.70
Zr 0.0000 0.0000 0.5000 (multiplicity 1)  8 Sr 3.41, 2 Zr 3.70
Cr 0.5000 0.5000 0.5000 (multiplicity 1)  8 Sr 3.41, 2 Cr 3.70



No. 13
The following is a meta-GGA SCAN calculation of a PBEsol-optimized structure of SrZrCr2, from Alexandria.

Cell lengths 6.9004, 6.9004, 6.9004 Å; angles 90.00, 90.00, 90.00 degrees
With the nearest neighbours (Å) after each atom.
Space group Fm-3m (No. 225)
Symmetry-distinct sites (fractional):
Sr 0.0000 0.0000 0.0000 (multiplicity 4)  8 Cr 2.99
Zr 0.0000 0.0000 0.5000 (multiplicity 4)  8 Cr 2.99
Cr 0.2500 0.2500 0.2500 (multiplicity 8)  4 Zr 2.99, 4 Sr 2.99



No. 14
The following is a meta-GGA SCAN calculation of a PBEsol-optimized structure of TaCr2, from Alexandria.

Cell lengths 4.8419, 4.8419, 15.8516 Å; angles 90.00, 90.00, 120.00 degrees
With the nearest neighbours (Å) after each atom.
Space group P6_3/mmc (No. 194)
Symmetry-distinct sites (fractional):
Ta 0.0000 0.0000 0.0944 (multiplicity 4)  12 Cr 2.82-2.85, 4 Ta 2.96-2.99
Ta 0.3333 0.6667 0.1562 (multiplicity 4)  12 Cr 2.84, 4 Ta 2.96-2.97
Cr 0.0000 0.5000 0.0000 (multiplicity 6)  6 Cr 2.41-2.42
Cr 0.1638 0.3275 0.7500 (multiplicity 6)  6 Cr 2.38-2.46
Cr 0.3333 0.6667 0.6241 (multiplicity 4)  6 Cr 2.41-2.45



No. 15
The following is a meta-GGA SCAN calculation of a PBEsol-optimized structure of Ta2Cr, from Alexandria.

Cell lengths 2.9941, 2.9941, 6.1809 Å; angles 90.00, 90.00, 120.00 degrees
With the nearest neighbours (Å) after each atom.
Space group P-3m1 (No. 164)
Symmetry-distinct sites (fractional):
Ta 0.3333 0.6667 0.3104 (multiplicity 2)  3 Cr 2.58
Cr 0.0000 0.0000 0.0000 (multiplicity 1)  6 Ta 2.58



Number 1: formation enthalpy at 0 K 149.3 kJ per mole of atoms, VASP energy -19.6077 eV/atom. Number 2: formation enthalpy at 0 K 15.4 kJ per mole of atoms, VASP energy -32.6908 eV/atom. Number 3: formation enthalpy at 0 K 72.8 kJ per mole of atoms, VASP energy -32.0963 eV/atom. Number 4: formation enthalpy at 0 K 90.2 kJ per mole of atoms, VASP energy -28.4882 eV/atom. Number 5: formation enthalpy at 0 K 115.3 kJ per mole of atoms, VASP energy -43.8135 eV/atom. Number 6: formation enthalpy at 0 K 91.4 kJ per mole of atoms, VASP energy -44.0613 eV/atom. Number 7: formation enthalpy at 0 K 151.6 kJ per mole of atoms, VASP energy -43.4380 eV/atom. Number 8: formation enthalpy at 0 K 49.9 kJ per mole of atoms, VASP energy -22.3172 eV/atom. Number 9: formation enthalpy at 0 K 37.5 kJ per mole of atoms, VASP energy -21.3327 eV/atom. Number 10: formation enthalpy at 0 K 67.9 kJ per mole of atoms, VASP energy -21.7322 eV/atom. Number 11: formation enthalpy at 0 K 70.3 kJ per mole of atoms, VASP energy -22.6802 eV/atom. Number 12: formation enthalpy at 0 K 69.2 kJ per mole of atoms, VASP energy -22.6913 eV/atom. Number 13: formation enthalpy at 0 K 61.2 kJ per mole of atoms, VASP energy -21.8013 eV/atom. Number 14: formation enthalpy at 0 K -7.3 kJ per mole of atoms, VASP energy -34.5262 eV/atom. Number 15: formation enthalpy at 0 K 30.5 kJ per mole of atoms, VASP energy -50.2010 eV/atom.